1.
Computed, not measured: an optimized crystal structure of ScGaBi2O6 at the GGA-PBE level of DFT.

Summary:
The uncorrected formation energy is -1.92 eV per atom. As for the crystal system: monoclinic.

The structure in CIF format:
```
data_ScGaBi2O6
_cell_length_a 5.525
_cell_length_b 5.785
_cell_length_c 9.678
_cell_angle_alpha 90.00
_cell_angle_beta 124.78
_cell_angle_gamma 90.00
_symmetry_space_group_name_H-M 'P 1 21/c 1'
_symmetry_Int_Tables_number 14
loop_
_symmetry_equiv_pos_as_xyz
'x,y,z'
'-x,-y,-z'
'-x,y+1/2,-z+1/2'
'x,-y+1/2,z+1/2'
loop_
_atom_site_label
_atom_site_type_symbol
_atom_site_fract_x
_atom_site_fract_y
_atom_site_fract_z
Sc1 Sc 0.000 0.000 0.000
Ga1 Ga 0.500 0.000 0.500
Bi1 Bi 0.240 0.050 0.750
O1 O 0.149 0.191 0.451
O2 O 0.265 0.702 0.451
O3 O 0.358 0.031 0.257
```

---

2.
Computed, not measured: an optimized crystal structure of Ni2GeAu at the GGA-PBE level of DFT.

Summary:
As for the crystal system: tetragonal. As for the formation energy: -45 meV/atom.

The structure in CIF format:
```
data_Ni2GeAu
_cell_length_a 4.004
_cell_length_b 4.004
_cell_length_c 3.401
_cell_angle_alpha 90.00
_cell_angle_beta 90.00
_cell_angle_gamma 90.00
_symmetry_space_group_name_H-M 'P 4/m m m'
_symmetry_Int_Tables_number 123
_symmetry_space_group_name_Hall '-P 4 2'
loop_
_atom_site_label
_atom_site_type_symbol
_atom_site_fract_x
_atom_site_fract_y
_atom_site_fract_z
Ni1 Ni 0.000 0.500 0.000
Ge1 Ge 0.000 0.000 0.500
Au1 Au 0.500 0.500 0.500
```

---

3.
Computed, not measured: an optimized crystal structure of TiNbTe at the GGA-PBE level of DFT.

Summary:
The uncorrected formation energy is -0.31 eV per atom. As for the crystal system: orthorhombic.

The structure in CIF format:
```
data_TiNbTe
_cell_length_a 3.563
_cell_length_b 4.456
_cell_length_c 7.335
_cell_angle_alpha 90.00
_cell_angle_beta 90.00
_cell_angle_gamma 90.00
_symmetry_space_group_name_H-M 'P m m n'
_symmetry_Int_Tables_number 59
loop_
_symmetry_equiv_pos_as_xyz
'x,y,z'
'-x,-y,-z'
'-x+1/2,-y+1/2,z'
'x+1/2,y+1/2,-z'
'x+1/2,-y,-z'
'-x+1/2,y,z'
'-x,y+1/2,-z'
'x,-y+1/2,z'
loop_
_atom_site_label
_atom_site_type_symbol
_atom_site_fract_x
_atom_site_fract_y
_atom_site_fract_z
Ti1 Ti 0.250 0.250 0.165
Nb1 Nb 0.250 0.750 0.513
Te1 Te 0.250 0.250 0.791
```

---

4.
Computed, not measured: an optimized crystal structure of RbRuC2 at the GGA-PBE level of DFT.

Summary:
As for the crystal system: cubic. As for the formation energy: 2896 meV/atom.

The structure in CIF format:
```
data_RbRuC2
_cell_length_a 6.055
_cell_length_b 6.055
_cell_length_c 6.055
_cell_angle_alpha 90.00
_cell_angle_beta 90.00
_cell_angle_gamma 90.00
_symmetry_space_group_name_H-M 'F m -3 m'
_symmetry_Int_Tables_number 225
_symmetry_space_group_name_Hall '-F 4 2 3'
loop_
_atom_site_label
_atom_site_type_symbol
_atom_site_fract_x
_atom_site_fract_y
_atom_site_fract_z
Rb1 Rb 0.000 0.000 0.000
Ru1 Ru 0.000 0.000 0.500
C1 C 0.250 0.250 0.250
```